# 1
This record from the Alexandria database describes a relaxed structure of NdInPt5. The functional is PBE.

Output
As for the energy of formation from the pure elements: -4.68 eV per formula unit.

a = 8.9153 Å, b = 5.3584 Å, c = 11.1058 Å
α = 90.00°, β = 90.00°, γ = 90.00°
With the nearest neighbours (Å) after each atom.
Space group Pnma (No. 62)
One atom of each set of equivalent atoms:
Nd1 0.2498 0.2500 0.0620 [4 per cell]  10 Pt 3.03-3.38
In1 0.1457 0.2500 0.3602 [4 per cell]  6 Pt 2.67-2.96
Pt1 0.0373 0.2500 0.5838 [4 per cell]  1 In 2.67, 3 Pt 2.76-2.80
Pt2 0.0663 0.5053 0.7987 [8 per cell]  7 Pt 2.62-2.86, 1 In 2.90
Pt3 0.0863 0.7500 0.0115 [4 per cell]  5 Pt 2.71-2.86, 1 In 2.92
Pt4 0.1893 0.7500 0.2417 [4 per cell]  6 Pt 2.65-2.80

# 2
This record from the Alexandria database describes a relaxed structure of KZn2Os. The functional is PBE.

Output
The offset from the most stable computed form comes out at 40.1 meV per atom. As for the energy of formation from the pure elements: 1.81 eV per formula unit.

a = 3.2606 Å, b = 3.2606 Å, c = 7.5810 Å
α = 90.00°, β = 90.00°, γ = 90.00°
With the nearest neighbours (Å) after each atom.
Space group P4/mmm (No. 123)
One atom of each set of equivalent atoms:
K1 0.0000 0.0000 0.0000 [1 per cell]  4 K 3.26, 8 Zn 3.43
Zn1 0.5000 0.5000 0.3345 [2 per cell]  1 Zn 2.51, 4 Os 2.62
Os1 0.0000 0.0000 0.5000 [1 per cell]  8 Zn 2.62

# 3
This record from the Alexandria database describes a relaxed structure of AlCuPS2. The functional is PBE.

Output
The offset from the most stable computed form comes out at 0.0 meV per atom. Its formation energy from raw total energies is 0.5583 eV/atom.

a = 4.6071 Å, b = 4.6071 Å, c = 4.6189 Å
α = 90.00°, β = 90.00°, γ = 90.00°
With the nearest neighbours (Å) after each atom.
Space group P4/mmm (No. 123)
One atom of each set of equivalent atoms:
Al1 0.0000 0.0000 0.0000 [1 per cell]  4 S 2.30, 2 P 2.31
Cu1 0.5000 0.5000 0.5000 [1 per cell]  4 P 3.26, 8 S 3.26
P1 0.0000 0.0000 0.5000 [1 per cell]  2 Al 2.31
S1 0.0000 0.5000 0.0000 [2 per cell]  2 Al 2.30

# 4
This record from the Alexandria database describes a relaxed structure of NpSn2Br8. The functional is PBE.

Output
Its formation energy from raw total energies is -0.9386 eV/atom.

a = 14.2481 Å, b = 7.5142 Å, c = 8.1289 Å
α = 90.00°, β = 91.83°, γ = 90.00°
With the nearest neighbours (Å) after each atom.
Space group C2/m (No. 12)
One atom of each set of equivalent atoms:
Np1 0.0000 0.0000 0.0000 [2 per cell]  6 Br 2.74-2.81
Sn1 0.1332 0.0000 0.4850 [4 per cell]  1 Br 2.60
Br1 0.0574 0.2499 0.2391 [8 per cell]  1 Np 2.81, 1 Sn 2.92
Br2 0.1768 0.0000 0.8761 [4 per cell]  1 Np 2.74
Br3 0.1942 0.5000 0.6097 [4 per cell]  1 Sn 2.60

# 5
This record from the Alexandria database describes a relaxed structure of NiW. The functional is PBE.

Output
As for the energy of formation from the pure elements: 0.02 eV per formula unit.

a = 2.6152 Å, b = 4.1150 Å, c = 5.1277 Å
α = 90.00°, β = 103.69°, γ = 90.00°
With the nearest neighbours (Å) after each atom.
Space group P2_1/m (No. 11)
One atom of each set of equivalent atoms:
Ni1 0.0606 0.2500 0.1299 [2 per cell]  4 Ni 2.43-2.62, 7 W 2.64-2.67
W1 0.3413 0.2500 0.6644 [2 per cell]  4 W 2.62-2.90, 7 Ni 2.64-2.67

# 6
This record from the Alexandria database describes a relaxed structure of Y2ZrScP4. The functional is PBE.

Output
As for the energy of formation from the pure elements: -12.25 eV per formula unit.

a = 6.6996 Å, b = 3.8712 Å, c = 6.7201 Å
α = 90.00°, β = 109.33°, γ = 90.00°
With the nearest neighbours (Å) after each atom.
Space group P2/m (No. 10)
One atom of each set of equivalent atoms:
Y1 0.0000 0.0000 0.0000 [1 per cell]  6 P 2.80
Y2 0.5000 0.5000 0.0000 [1 per cell]  6 P 2.80
Zr1 0.0000 0.5000 0.5000 [1 per cell]  6 P 2.68-2.69
Sc1 0.5000 0.0000 0.5000 [1 per cell]  6 P 2.68
P1 0.2450 0.0000 0.7345 [2 per cell]  1 Sc 2.68, 2 Zr 2.69, 3 Y 2.80
P2 0.2551 0.5000 0.2661 [2 per cell]  1 Zr 2.68, 2 Sc 2.68, 3 Y 2.80

# 7
This record from the Alexandria database describes a relaxed structure of Te4W. The functional is PBE.

Output
The offset from the most stable computed form comes out at 136.9 meV per atom. Its formation energy from raw total energies is 0.6854 eV/atom.

a = 6.6985 Å, b = 6.6985 Å, c = 6.6985 Å
α = 90.00°, β = 90.00°, γ = 90.00°
With the nearest neighbours (Å) after each atom.
Space group Im-3m (No. 229)
One atom of each set of equivalent atoms:
Te1 0.2500 0.2500 0.2500 [8 per cell]  2 W 2.90
W1 0.0000 0.0000 0.0000 [2 per cell]  8 Te 2.90

# 8
This record from the Alexandria database describes a relaxed structure of Ca3Pd4Pb4. The functional is PBE.

Output
As for the energy of formation from the pure elements: -5.24 eV per formula unit.

a = 3.6832 Å, b = 4.8692 Å, c = 29.3583 Å
α = 90.00°, β = 90.00°, γ = 90.00°
With the nearest neighbours (Å) after each atom.
Space group Immm (No. 71)
One atom of each set of equivalent atoms:
Ca1 0.0000 0.0000 0.0000 [2 per cell]  4 Pd 3.36, 8 Pb 3.41, 2 Ca 3.68
Ca2 0.0000 0.5000 0.1439 [4 per cell]  6 Pb 3.27-3.35, 6 Pd 3.29-3.36
Pd1 0.0000 0.0000 0.2632 [4 per cell]  4 Pb 2.78-2.81
Pd2 0.0000 0.5000 0.4042 [4 per cell]  3 Pb 2.76-2.79
Pb1 0.0000 0.0000 0.4482 [4 per cell]  2 Pd 2.76, 1 Pb 3.04
Pb2 0.0000 0.5000 0.3092 [4 per cell]  5 Pd 2.78-2.81

# 9
This record from the Alexandria database describes a relaxed structure of LaNd2Ag6. The functional is PBE.

Output
The offset from the most stable computed form comes out at 0.0 meV per atom. As for the energy of formation from the pure elements: -2.39 eV per formula unit.

a = 8.3543 Å, b = 8.3543 Å, c = 3.6266 Å
α = 90.00°, β = 90.00°, γ = 120.00°
With the nearest neighbours (Å) after each atom.
Space group P6/mmm (No. 191)
One atom of each set of equivalent atoms:
La1 0.0000 0.0000 0.0000 [1 per cell]  12 Ag 3.33, 2 La 3.63
Nd1 0.3333 0.6667 0.0000 [2 per cell]  12 Ag 3.32, 2 Nd 3.63
Ag1 0.0000 0.3343 0.5000 [6 per cell]  3 Ag 2.77-2.79

# 10
This record from the Alexandria database describes a relaxed structure of Bi5O. The functional is PBE.

Output
Its formation energy from raw total energies is -0.0614 eV/atom.

a = 5.9957 Å, b = 15.9750 Å, c = 3.4383 Å
α = 90.00°, β = 90.00°, γ = 90.00°
With the nearest neighbours (Å) after each atom.
Space group Cmmm (No. 65)
One atom of each set of equivalent atoms:
Bi1 0.0000 0.0000 0.0000 [2 per cell]  10 Bi 3.44-3.62, 4 O 3.46
Bi2 0.0000 0.1992 0.5000 [4 per cell]  12 Bi 3.41-3.75
Bi3 0.0000 0.3918 0.0000 [4 per cell]  2 O 2.44
O1 0.0000 0.5000 0.5000 [2 per cell]  4 Bi 2.44

Number 1: size of the total moment 0.0 μB per formula unit, VASP energy -169.57 eV per cell. Number 2: size of the total moment 0.0 μB per formula unit, VASP energy -13.06 eV per cell. Number 3: size of the total moment 0.0 μB per formula unit, VASP energy -18.71 eV per cell. Number 4: size of the total moment 3.0 μB per formula unit, VASP energy -89.31 eV per cell. Number 5: size of the total moment 0.0 μB per formula unit, VASP energy -37.43 eV per cell. Number 6: size of the total moment 0.0 μB per formula unit, VASP energy -61.70 eV per cell. Number 7: size of the total moment 1.8 μB per formula unit, VASP energy -44.19 eV per cell. Number 8: size of the total moment 0.0 μB per formula unit, VASP energy -93.71 eV per cell. Number 9: size of the total moment 0.0 μB per formula unit, VASP energy -33.96 eV per cell. Number 10: size of the total moment 0.0 μB per formula unit, VASP energy -49.46 eV per cell.